1.
Entry from the Alexandria database: a relaxed structure of LiCeSi2 (GGA-PBEsol).

## Properties
Space-group type ... Pnma
VASP energy ... -5.5702 eV per atom

Cell: 3.830 7.557 10.303 Å, 90.00 90.00 90.00°
Each line ends with the local moment (μB).
Fractional coordinates of all 16 atoms:
Li  0.750  0.509  0.106  0.00
Li  0.750  0.009  0.394  0.00
Li  0.250  0.491  0.894  0.00
Li  0.250  0.991  0.606  0.00
Ce  0.750  0.361  0.635  0.51
Ce  0.750  0.861  0.865  0.51
Ce  0.250  0.639  0.365  0.51
Ce  0.250  0.139  0.135  0.51
Si  0.750  0.264  0.930  0.00
Si  0.750  0.764  0.570  0.00
Si  0.250  0.736  0.070  0.00
Si  0.250  0.236  0.430  0.00
Si  0.750  0.839  0.183  0.00
Si  0.750  0.339  0.317  0.00
Si  0.250  0.161  0.817  0.00
Si  0.250  0.661  0.683  0.00



2.
Entry from the Alexandria database: a relaxed structure of CuTc2Cl (GGA-PBEsol).

## Properties
Space-group type ... P4/mmm
Polymorph energy (0 for the lowest one) ... 0.000 eV per atom
VASP energy ... -6.4446 eV per atom

Cell: 2.840 4.278 4.278 Å, 90.00 90.00 90.00°
Fractional coordinates of all 4 atoms:
Cl  0.500  0.500  0.500
Cu  0.500  0.000  0.000
Tc  0.000  0.000  0.500
Tc  0.000  0.500  0.000